# 1
Entry from Alexandria: a relaxed LiPd2Pb crystal (PBE).

Values from the calculation:
For the calculated density, the calculation gives 9465 kg/m3. The density of states at the Fermi level is 1.777 states/eV/f.u. The calculation puts the formation enthalpy at 0 K at -0.51 eV per formula unit. The calculation puts the energy at -4.1291 eV/atom.

abc: 4.0343 4.0343 9.6367
angles: 77.92 77.92 90.00
Closest atoms and distances in Å follow each position.
Fractional coordinates of all 8 atoms:
Pd (0.1444, 0.6250, 0.2500)  2 Li 2.68, 2 Pb 2.74, 4 Pd 2.74-2.97
Pd (0.8750, 0.8556, 0.7500)  2 Li 2.68, 2 Pb 2.74, 4 Pd 2.74-2.97
Pd (0.6056, 0.1250, 0.2500)  2 Li 2.68, 2 Pb 2.74, 4 Pd 2.74-2.97
Pd (0.3750, 0.3944, 0.7500)  2 Li 2.68, 2 Pb 2.74, 4 Pd 2.74-2.97
Li (0.2500, 0.7500, 0.5000)  4 Pd 2.68, 4 Pb 2.85
Li (0.5000, 0.5000, 0.0000)  4 Pd 2.68, 4 Pb 2.85
Pb (0.7500, 0.2500, 0.5000)  4 Pd 2.74, 4 Li 2.85
Pb (0.0000, 0.0000, 0.0000)  4 Pd 2.74, 4 Li 2.85

***

# 2
Entry from Alexandria: a relaxed FeSbTe2 crystal (PBE).

Values from the calculation:
Its raw formation energy is 319 meV/atom. For the calculated density, the calculation gives 5962 kg/m3. The density of states at the Fermi level is 3.874 states/eV/f.u. The calculation puts the energy at -4.3985 eV/atom.

abc: 6.5996 6.5996 7.2402
angles: 62.89 62.89 90.00
Closest atoms and distances in Å follow each position.
Fractional coordinates of all 8 atoms:
Te (0.3750, 0.4555, 0.7500)  2 Fe 2.43
Te (0.8750, 0.7945, 0.7500)  2 Fe 2.43
Te (0.2055, 0.6250, 0.2500)  2 Fe 2.43
Te (0.5445, 0.1250, 0.2500)  2 Fe 2.43
Fe (0.2500, 0.7500, 0.5000)  4 Te 2.43
Fe (0.5000, 0.5000, 0.0000)  4 Te 2.43
Sb (0.7500, 0.2500, 0.5000)  4 Te 3.06
Sb (0.0000, 0.0000, 0.0000)  4 Te 3.06